Entry 1:
# ReTc2Os | the Alexandria database | GGA-PBE | relaxed
data_ReTc2Os
_space_group_name_H-M_alt 'P 4/m m m'
_space_group_IT_number 123
_space_group_name_Hall '-P 4 2'
_cell_length_a 3.883
_cell_length_b 3.883
_cell_length_c 3.882
_cell_angle_alpha 90.00
_cell_angle_beta 90.00
_cell_angle_gamma 90.00
loop_
_atom_site_label
_atom_site_type_symbol
_atom_site_fract_x
_atom_site_fract_y
_atom_site_fract_z
Re1 Re 0.000 0.000 0.000
Tc1 Tc 0.000 0.500 0.500
Os1 Os 0.500 0.500 0.000
# **Formation energy**: 4.7 kJ/mol of atoms
# **Energy above the most stable polymorph in this dataset**: 101 meV per atom
# **Energy**: -44.214 eV/cell
# **Size of the total moment**: 0.000 μB/f.u.


Entry 2:
# Re2TcOs | the Alexandria database | GGA-PBE | relaxed
data_Re2TcOs
_space_group_name_H-M_alt 'P 4 m m'
_space_group_IT_number 99
_space_group_name_Hall 'P 4 -2'
_cell_length_a 2.749
_cell_length_b 2.749
_cell_length_c 7.805
_cell_angle_alpha 90.00
_cell_angle_beta 90.00
_cell_angle_gamma 90.00
loop_
_atom_site_label
_atom_site_type_symbol
_atom_site_fract_x
_atom_site_fract_y
_atom_site_fract_z
Re1 Re 0.000 0.000 0.000
Re2 Re 0.500 0.500 0.256
Tc1 Tc 0.000 0.000 0.504
Os1 Os 0.500 0.500 0.756
# **Formation energy**: 6.5 kJ/mol of atoms
# **Energy above the most stable polymorph in this dataset**: 86 meV per atom
# **Energy**: -46.221 eV/cell
# **Size of the total moment**: 0.000 μB/f.u.


Entry 3:
# ReTc3Os | the Alexandria database | GGA-PBE | relaxed
data_ReTc3Os
_space_group_name_H-M_alt 'P 1'
_space_group_IT_number 1
_space_group_name_Hall 'P 1'
_cell_length_a 4.783
_cell_length_b 5.206
_cell_length_c 7.065
_cell_angle_alpha 71.24
_cell_angle_beta 89.98
_cell_angle_gamma 62.68
loop_
_atom_site_label
_atom_site_type_symbol
_atom_site_fract_x
_atom_site_fract_y
_atom_site_fract_z
Re1 Re 0.000 0.000 0.000
Re2 Re 0.191 0.618 0.399
Tc1 Tc 0.062 0.213 0.299
Tc2 Tc 0.392 0.215 0.801
Tc3 Tc 0.465 0.407 0.099
Tc4 Tc 0.663 0.006 0.500
Tc5 Tc 0.798 0.403 0.599
Tc6 Tc 0.857 0.615 0.898
Os1 Os 0.261 0.810 0.699
Os2 Os 0.598 0.810 0.200
# **Formation energy**: -4.4 kJ/mol of atoms
# **Energy above the most stable polymorph in this dataset**: 0 meV per atom
# **Energy**: -110.003 eV/cell
# **Size of the total moment**: 0.000 μB/f.u.


Entry 4:
# Re2TcOs | the Alexandria database | GGA-PBE | relaxed
data_Re2TcOs
_space_group_name_H-M_alt 'I -4 m 2'
_space_group_IT_number 119
_space_group_name_Hall 'I -4 -2'
_cell_length_a 3.888
_cell_length_b 3.888
_cell_length_c 7.795
_cell_angle_alpha 90.00
_cell_angle_beta 90.00
_cell_angle_gamma 90.00
loop_
_atom_site_label
_atom_site_type_symbol
_atom_site_fract_x
_atom_site_fract_y
_atom_site_fract_z
Re1 Re 0.000 0.000 0.000
Re2 Re 0.000 0.500 0.250
Tc1 Tc 0.000 0.500 0.750
Os1 Os 0.000 0.000 0.500
# **Formation energy**: 4.8 kJ/mol of atoms
# **Energy above the most stable polymorph in this dataset**: 68 meV per atom
# **Energy**: -92.588 eV/cell
# **Size of the total moment**: 0.000 μB/f.u.


Entry 5:
# Re2TcOs | the Alexandria database | GGA-PBE | relaxed
data_Re2TcOs
_space_group_name_H-M_alt 'R -3 m'
_space_group_IT_number 166
_space_group_name_Hall '-R 3 2"'
_cell_length_a 2.7469
_cell_length_b 2.7469
_cell_length_c 27.0696
_cell_angle_alpha 90.00
_cell_angle_beta 90.00
_cell_angle_gamma 120.00
loop_
_atom_site_label
_atom_site_type_symbol
_atom_site_fract_x
_atom_site_fract_y
_atom_site_fract_z
Re1 Re 0.0000 0.0000 0.2502
Tc1 Tc 0.0000 0.0000 0.0000
Os1 Os 0.0000 0.0000 0.5000
# **Formation energy**: 5.3 kJ/mol of atoms
# **Energy above the most stable polymorph in this dataset**: 74 meV per atom
# **Energy**: -138.811 eV/cell
# **Size of the total moment**: 0.000 μB/f.u.


Entry 6:
# ReTcOs2 | the Alexandria database | GGA-PBE | relaxed
data_ReTcOs2
_space_group_name_H-M_alt 'C 1 2/m 1'
_space_group_IT_number 12
_space_group_name_Hall '-C 2y'
_cell_length_a 9.113
_cell_length_b 2.736
_cell_length_c 4.742
_cell_angle_alpha 90.00
_cell_angle_beta 99.93
_cell_angle_gamma 90.00
loop_
_atom_site_label
_atom_site_type_symbol
_atom_site_fract_x
_atom_site_fract_y
_atom_site_fract_z
Re1 Re 0.000 0.000 0.000
Tc1 Tc 0.000 0.500 0.500
Os1 Os 0.249 0.500 0.250
# **Formation energy**: 6.3 kJ/mol of atoms
# **Energy above the most stable polymorph in this dataset**: 157 meV per atom
# **Energy**: -90.025 eV/cell
# **Size of the total moment**: 0.000 μB/f.u.


Entry 7:
# Re2TcOs | the Alexandria database | GGA-PBE | relaxed
data_Re2TcOs
_space_group_name_H-M_alt 'C m m m'
_space_group_IT_number 65
_space_group_name_Hall '-C 2 2'
_cell_length_a 5.506
_cell_length_b 7.797
_cell_length_c 2.748
_cell_angle_alpha 90.00
_cell_angle_beta 90.00
_cell_angle_gamma 90.00
loop_
_atom_site_label
_atom_site_type_symbol
_atom_site_fract_x
_atom_site_fract_y
_atom_site_fract_z
Re1 Re 0.250 0.250 0.000
Tc1 Tc 0.000 0.000 0.500
Os1 Os 0.000 0.500 0.500
# **Formation energy**: 5.0 kJ/mol of atoms
# **Energy above the most stable polymorph in this dataset**: 71 meV per atom
# **Energy**: -92.565 eV/cell
# **Size of the total moment**: 0.000 μB/f.u.


Entry 8:
# ReTcOs2 | the Alexandria database | GGA-PBE | relaxed
data_ReTcOs2
_space_group_name_H-M_alt 'P 4 m m'
_space_group_IT_number 99
_space_group_name_Hall 'P 4 -2'
_cell_length_a 3.252
_cell_length_b 3.252
_cell_length_c 5.652
_cell_angle_alpha 90.00
_cell_angle_beta 90.00
_cell_angle_gamma 90.00
loop_
_atom_site_label
_atom_site_type_symbol
_atom_site_fract_x
_atom_site_fract_y
_atom_site_fract_z
Re1 Re 0.000 0.000 0.000
Tc1 Tc 0.500 0.500 0.263
Os1 Os 0.000 0.000 0.518
Os2 Os 0.500 0.500 0.747
# **Formation energy**: 48.4 kJ/mol of atoms
# **Energy above the most stable polymorph in this dataset**: 593 meV per atom
# **Energy**: -43.268 eV/cell
# **Size of the total moment**: 0.543 μB/f.u.


Entry 9:
# Re2Tc2Os | the Alexandria database | GGA-PBE | relaxed
data_Re2Tc2Os
_space_group_name_H-M_alt 'P -1'
_space_group_IT_number 2
_space_group_name_Hall '-P 1'
_cell_length_a 2.744
_cell_length_b 7.300
_cell_length_c 7.781
_cell_angle_alpha 74.69
_cell_angle_beta 89.89
_cell_angle_gamma 79.19
loop_
_atom_site_label
_atom_site_type_symbol
_atom_site_fract_x
_atom_site_fract_y
_atom_site_fract_z
Re1 Re 0.094 0.305 0.047
Re2 Re 0.305 0.895 0.154
Tc1 Tc 0.105 0.297 0.553
Tc2 Tc 0.295 0.906 0.646
Os1 Os 0.497 0.503 0.246
# **Formation energy**: 6.1 kJ/mol of atoms
# **Energy**: -113.083 eV/cell
# **Size of the total moment**: 0.000 μB/f.u.


Entry 10:
# ReTc2Os | the Alexandria database | GGA-PBE | relaxed
data_ReTc2Os
_space_group_name_H-M_alt 'C 1 2/m 1'
_space_group_IT_number 12
_space_group_name_Hall '-C 2y'
_cell_length_a 9.125
_cell_length_b 2.745
_cell_length_c 4.752
_cell_angle_alpha 90.00
_cell_angle_beta 100.21
_cell_angle_gamma 90.00
loop_
_atom_site_label
_atom_site_type_symbol
_atom_site_fract_x
_atom_site_fract_y
_atom_site_fract_z
Re1 Re 0.000 0.000 0.000
Tc1 Tc 0.248 0.000 0.747
Os1 Os 0.000 0.500 0.500
# **Formation energy**: 5.8 kJ/mol of atoms
# **Energy above the most stable polymorph in this dataset**: 113 meV per atom
# **Energy**: -88.340 eV/cell
# **Size of the total moment**: 0.000 μB/f.u.


Entry 11:
# Re2Tc6Os | the Alexandria database | GGA-PBE | relaxed
data_Re2Tc6Os
_space_group_name_H-M_alt 'C 1 2/c 1'
_space_group_IT_number 15
_space_group_name_Hall '-C 2yc'
_cell_length_a 10.129
_cell_length_b 9.245
_cell_length_c 6.981
_cell_angle_alpha 90.00
_cell_angle_beta 125.03
_cell_angle_gamma 90.00
loop_
_atom_site_label
_atom_site_type_symbol
_atom_site_fract_x
_atom_site_fract_y
_atom_site_fract_z
Re1 Re 0.189 0.101 0.429
Tc1 Tc 0.034 0.126 0.954
Tc2 Tc 0.102 0.418 0.687
Tc3 Tc 0.223 0.337 0.144
Os1 Os 0.000 0.328 0.250
# **Formation energy**: 10.8 kJ/mol of atoms
# **Energy**: -389.247 eV/cell
# **Size of the total moment**: 0.000 μB/f.u.


Entry 12:
# Re2TcOs | the Alexandria database | GGA-PBE | relaxed
data_Re2TcOs
_space_group_name_H-M_alt 'C 1 m 1'
_space_group_IT_number 8
_space_group_name_Hall 'C -2y'
_cell_length_a 9.148
_cell_length_b 2.753
_cell_length_c 4.765
_cell_angle_alpha 90.00
_cell_angle_beta 100.36
_cell_angle_gamma 90.00
loop_
_atom_site_label
_atom_site_type_symbol
_atom_site_fract_x
_atom_site_fract_y
_atom_site_fract_z
Re1 Re 0.000 0.000 0.000
Re2 Re 0.245 0.500 0.258
Tc1 Tc 0.242 0.000 0.752
Os1 Os 0.499 0.000 0.501
# **Formation energy**: 5.7 kJ/mol of atoms
# **Energy above the most stable polymorph in this dataset**: 77 meV per atom
# **Energy**: -92.514 eV/cell
# **Size of the total moment**: 0.000 μB/f.u.